## KIn2Cu2 (GGA-PBE)

Data for a geometry-optimized KIn2Cu2 structure.

## Properties
- offset from the most stable computed form (eV/atom) = 0.0439
- Fermi-level density of states (states/eV per atom) = 0.33
- V (Å³ per cell) = 211.4

Unit cell a=8.583 b=8.583 c=2.870 alpha=90.00 beta=90.00 gamma=90.00
Positions (direct):
K (0.000, 0.000, 0.000)
K (0.500, 0.500, 0.000)
In (0.140, 0.360, 0.500)
In (0.360, 0.860, 0.500)
In (0.640, 0.140, 0.500)
In (0.860, 0.640, 0.500)
Cu (0.151, 0.651, 0.000)
Cu (0.349, 0.151, 0.000)
Cu (0.651, 0.849, 0.000)
Cu (0.849, 0.349, 0.000)